# TaZn3Rh

A relaxed structure of TaZn3Rh (PBE, the Alexandria database).

Cell: 4.576 4.576 4.576 Å, 90.00 90.00 90.00°
Positions (direct):
Zn  0.500  0.000  0.000
Zn  0.000  0.000  0.500
Zn  0.000  0.500  0.000
Ta  0.500  0.500  0.500
Rh  0.000  0.000  0.000

Energy above the most stable polymorph in this dataset, meV per atom: 0
Raw total energy, eV per cell: -18.8
Space-group type: No. 221
Energy of formation, eV per formula unit: 4.218

***

# ZrScRu2

A relaxed structure of ZrScRu2 (PBE, the Alexandria database).

Cell: 2.926 2.926 8.524 Å, 90.00 90.00 90.00°
Positions (direct):
Zr  0.500  0.500  0.785
Ru  0.000  0.000  0.037
Ru  0.500  0.500  0.222
Sc  0.000  0.000  0.455

Raw total energy, eV per cell: -33.6
Space-group type: No. 99
Energy of formation, eV per formula unit: -0.152

***

# Pm3Y2Sn2

A relaxed structure of Pm3Y2Sn2 (PBE, the Alexandria database).

Cell: 4.579 6.290 8.558 Å, 106.37 90.00 111.35°
Positions (direct):
Pm  0.500  0.000  0.000
Pm  0.370  0.740  0.561
Pm  0.630  0.260  0.439
Y  0.867  0.733  0.218
Y  0.133  0.267  0.782
Sn  0.824  0.648  0.811
Sn  0.176  0.352  0.189

Raw total energy, eV per cell: -38.4
Space-group type: No. 12
Energy of formation, eV per formula unit: -3.250

***

# AlFe4Ir

A relaxed structure of AlFe4Ir (PBE, the Alexandria database).

Cell: 2.961 2.961 8.535 Å, 90.00 90.00 90.00°
Positions (direct):
Fe  0.000  0.000  0.318
Fe  0.500  0.500  0.166
Fe  0.500  0.500  0.834
Fe  0.000  0.000  0.682
Al  0.000  0.000  0.000
Ir  0.500  0.500  0.500

Energy above the most stable polymorph in this dataset, meV per atom: 0
Raw total energy, eV per cell: -47.2
Space-group type: No. 123
Energy of formation, eV per formula unit: -0.765

***

# Nd8PIr3Cl4

A relaxed structure of Nd8PIr3Cl4 (PBE, the Alexandria database).

Cell: 8.348 8.824 8.348 Å, 118.25 120.00 90.00°
Positions (direct):
Nd  0.265  0.294  0.529
Nd  0.760  0.294  0.034
Nd  0.240  0.706  0.480
Nd  0.760  0.294  0.520
Nd  0.240  0.706  0.966
Nd  0.735  0.706  0.471
Nd  0.727  0.706  0.966
Nd  0.273  0.294  0.034
Cl  0.500  0.000  0.000
Cl  0.500  0.000  0.500
Cl  0.000  0.000  0.500
Cl  0.000  0.000  0.000
Ir  0.000  0.500  0.500
Ir  0.500  0.500  0.000
Ir  0.500  0.500  0.500
P  0.000  0.500  0.000

Raw total energy, eV per cell: -97.5
Energy relative to the elements, uncorrected, eV/f.u.: -19.97
Space-group type: No. 166

***

# FeAg2Mo

A relaxed structure of FeAg2Mo (PBE, the Alexandria database).

Cell: 2.787 4.645 4.963 Å, 90.00 90.00 90.00°
Positions (direct):
Ag  0.500  0.500  0.000
Ag  0.000  0.000  0.000
Mo  0.000  0.500  0.500
Fe  0.500  0.000  0.500

Energy above the most stable polymorph in this dataset, meV per atom: 275
Raw total energy, eV per cell: -22.7
Space-group type: No. 47
Energy of formation, eV per formula unit: 2.313

***

# NdSi3TcOs

A relaxed structure of NdSi3TcOs (PBE, the Alexandria database).

Cell: 5.605 7.631 6.721 Å, 124.59 90.00 90.00°
Positions (direct):
Tc  0.250  0.051  0.103
Tc  0.750  0.949  0.897
Os  0.750  0.546  0.093
Os  0.250  0.454  0.907
Si  0.500  0.751  0.000
Si  0.000  0.751  0.000
Si  0.000  0.249  0.000
Si  0.750  0.748  0.495
Si  0.250  0.252  0.505
Si  0.500  0.249  0.000
Nd  0.250  0.747  0.494
Nd  0.750  0.253  0.506

Raw total energy, eV per cell: -89.5
Energy relative to the elements, uncorrected, eV/f.u.: -2.12
Space-group type: No. 63

***

What is the formula in the sixth record? FeAg2Mo

***

Look up the raw total energy of the first one. -18.8 eV per cell

***

Which of these has the highest raw total energy? TaZn3Rh

***

Copy entry 6 word for word.
# FeAg2Mo

A relaxed structure of FeAg2Mo (PBE, the Alexandria database).

Cell: 2.787 4.645 4.963 Å, 90.00 90.00 90.00°
Positions (direct):
Ag  0.500  0.500  0.000
Ag  0.000  0.000  0.000
Mo  0.000  0.500  0.500
Fe  0.500  0.000  0.500

Energy above the most stable polymorph in this dataset, meV per atom: 275
Raw total energy, eV per cell: -22.7
Space-group type: No. 47
Energy of formation, eV per formula unit: 2.313